[1]
A relaxed Co2MoH2 crystal. Source: the Alexandria database, functional PBE-GGA.

Output
Density of states at the Fermi level in states/eV/cell: 15.29
Space group: P4/mbm (127)
E_tot in eV/atom: -6.0727

a b c (Å): 5.7578 5.7578 2.6765
angles (deg): 90.00 90.00 90.00
Fractional coordinates of all 10 atoms:
Co 0.1420 0.3580 0.0000
Co 0.3580 0.8580 0.0000
Co 0.6420 0.1420 0.0000
Co 0.8580 0.6420 0.0000
Mo 0.0000 0.0000 0.5000
Mo 0.5000 0.5000 0.5000
H 0.2336 0.7336 0.5000
H 0.2664 0.2336 0.5000
H 0.7336 0.7664 0.5000
H 0.7664 0.2664 0.5000

[2]
A relaxed CoMo2H crystal. Source: the Alexandria database, functional PBE-GGA.

Output
Density of states at the Fermi level in states/eV/cell: 5.09
Space group: I-42d (122)
E_tot in eV/atom: -7.7456

a b c (Å): 4.9280 4.9280 4.9280
angles (deg): 108.90 108.90 110.61
Fractional coordinates of all 8 atoms:
Co 0.0000 0.0000 0.0000
Co 0.7500 0.2500 0.5000
Mo 0.1936 0.6250 0.0686
Mo 0.3750 0.4436 0.5686
Mo 0.5564 0.1250 0.9314
Mo 0.8750 0.8064 0.4314
H 0.2500 0.7500 0.5000
H 0.5000 0.5000 0.0000

[3]
A relaxed CoMoH2N crystal. Source: the Alexandria database, functional PBE-GGA.

Output
Density of states at the Fermi level in states/eV/cell: 5.76
Space group: P4/mmm (123)
E_tot in eV/atom: -5.4418

a b c (Å): 3.5990 3.5990 3.3885
angles (deg): 90.00 90.00 90.00
Fractional coordinates of all 5 atoms:
Co 0.0000 0.0000 0.0000
Mo 0.5000 0.5000 0.0000
H 0.0000 0.5000 0.5000
H 0.5000 0.0000 0.5000
N 0.0000 0.0000 0.5000

[4]
A relaxed Na2CoMoH crystal. Source: the Alexandria database, functional PBE-GGA.

Output
Density of states at the Fermi level in states/eV/cell: 8.13
Space group: P4/mmm (123)
E_tot in eV/atom: -3.3840

a b c (Å): 5.7834 5.7834 3.4116
angles (deg): 90.00 90.00 90.00
Fractional coordinates of all 5 atoms:
Na 0.0000 0.5000 0.0000
Na 0.5000 0.0000 0.0000
Co 0.0000 0.0000 0.5000
Mo 0.5000 0.5000 0.0000
H 0.5000 0.5000 0.5000

[5]
A relaxed NbCoMo2H crystal. Source: the Alexandria database, functional PBE-GGA.

Output
Density of states at the Fermi level in states/eV/cell: 5.59
Space group: P4/mmm (123)
E_tot in eV/atom: -8.3794

a b c (Å): 4.2925 4.2925 3.3903
angles (deg): 90.00 90.00 90.00
Fractional coordinates of all 5 atoms:
Nb 0.0000 0.0000 0.0000
Co 0.5000 0.5000 0.0000
Mo 0.0000 0.5000 0.5000
Mo 0.5000 0.0000 0.5000
H 0.5000 0.5000 0.5000